A plane-wave DFT calculation with PBE with a Hubbard U was carried out for an optimized crystal structure of InMoPb2O6.

Summary:
Energy ... -122.09 eV for the cell shown

Cell lengths 5.8294, 5.8088, 10.1622 Å; angles 90.00, 124.45, 90.00 degrees
With the nearest neighbours (Å) after each atom.
Fractional positions:
In1 0.0000 0.0000 0.0000  6 O 2.16-2.26
In2 0.0000 0.5000 0.5000  6 O 2.16-2.26
Mo1 0.5000 0.0000 0.5000  6 O 1.93-2.07
Mo2 0.5000 0.5000 0.0000  6 O 1.93-2.07
Pb1 0.2791 0.0333 0.7633  4 O 2.48-2.59
Pb2 0.2791 0.4667 0.2633  4 O 2.48-2.59
Pb3 0.7209 0.5333 0.7367  4 O 2.48-2.59
Pb4 0.7209 0.9667 0.2367  4 O 2.48-2.59
O1 0.2085 0.1906 0.4767  1 Mo 1.93
O2 0.2085 0.3094 0.9767  1 Mo 1.93
O3 0.2899 0.7021 0.4791  1 Mo 2.06, 1 In 2.16
O4 0.2899 0.7979 0.9791  1 Mo 2.06, 1 In 2.16
O5 0.3205 0.0229 0.2566  1 Mo 2.07, 1 In 2.19
O6 0.3205 0.4771 0.7566  1 Mo 2.07, 1 In 2.19
O7 0.6795 0.5229 0.2434  1 Mo 2.07, 1 In 2.19
O8 0.6795 0.9771 0.7434  1 Mo 2.07, 1 In 2.19
O9 0.7101 0.2021 0.0209  1 Mo 2.06, 1 In 2.16
O10 0.7101 0.2979 0.5209  1 Mo 2.06, 1 In 2.16
O11 0.7915 0.6906 0.0233  1 Mo 1.93
O12 0.7915 0.8094 0.5233  1 Mo 1.93